Version a
Ca2ZrTa | PBE | relaxed

CIF file:
```
data_Ca2ZrTa
_chemical_formula_sum 'Ca2 Zr1 Ta1'
_space_group_name_H-M_alt 'P m m m'
_space_group_IT_number 47
_space_group_name_Hall '-P 2 2'
_cell_length_a 3.5774
_cell_length_b 4.9416
_cell_length_c 5.7864
_cell_angle_alpha 90.00
_cell_angle_beta 90.00
_cell_angle_gamma 90.00
loop_
_atom_site_label
_atom_site_type_symbol
_atom_site_fract_x
_atom_site_fract_y
_atom_site_fract_z
Ca1 Ca 0.0000 0.0000 0.0000
Ca2 Ca 0.5000 0.5000 0.0000
Zr1 Zr 0.0000 0.5000 0.5000
Ta1 Ta 0.5000 0.0000 0.5000
```

Version b
Ca2ZrTa | PBE | relaxed

CIF file:
```
data_Ca2ZrTa
_chemical_formula_sum 'Ca4 Zr2 Ta2'
_space_group_name_H-M_alt 'C 1 2/m 1'
_space_group_IT_number 12
_space_group_name_Hall '-C 2y'
_cell_length_a 11.7302
_cell_length_b 3.1779
_cell_length_c 5.5673
_cell_angle_alpha 90.00
_cell_angle_beta 99.16
_cell_angle_gamma 90.00
loop_
_atom_site_label
_atom_site_type_symbol
_atom_site_fract_x
_atom_site_fract_y
_atom_site_fract_z
Ca1 Ca 0.2416 0.0000 0.2424
Zr1 Zr 0.0000 0.0000 0.5000
Ta1 Ta 0.0000 0.5000 0.0000
```

Version c
Ca2ZrTa | PBE | relaxed

CIF file:
```
data_Ca2ZrTa
_chemical_formula_sum 'Ca4 Zr2 Ta2'
_space_group_name_H-M_alt 'C m m m'
_space_group_IT_number 65
_space_group_name_Hall '-C 2 2'
_cell_length_a 3.4066
_cell_length_b 5.1632
_cell_length_c 11.6530
_cell_angle_alpha 90.00
_cell_angle_beta 90.00
_cell_angle_gamma 90.00
loop_
_atom_site_label
_atom_site_type_symbol
_atom_site_fract_x
_atom_site_fract_y
_atom_site_fract_z
Ca1 Ca 0.0000 0.0000 0.2365
Zr1 Zr 0.0000 0.5000 0.5000
Ta1 Ta 0.0000 0.5000 0.0000
```

Version d
Ca2ZrTa | PBE | relaxed

CIF file:
```
data_Ca2ZrTa
_chemical_formula_sum 'Ca8 Zr4 Ta4'
_space_group_name_H-M_alt 'F m -3 m'
_space_group_IT_number 225
_space_group_name_Hall '-F 4 2 3'
_cell_length_a 7.5169
_cell_length_b 7.5169
_cell_length_c 7.5169
_cell_angle_alpha 90.00
_cell_angle_beta 90.00
_cell_angle_gamma 90.00
loop_
_atom_site_label
_atom_site_type_symbol
_atom_site_fract_x
_atom_site_fract_y
_atom_site_fract_z
Ca1 Ca 0.2500 0.2500 0.2500
Zr1 Zr 0.0000 0.0000 0.0000
Ta1 Ta 0.0000 0.0000 0.5000
```

Going by the computed energies, the most stable comes first: version b, version c, version a, version d.

Version a
Ca2ZrTa | PBE | relaxed

CIF file:
```
data_Ca2ZrTa
_chemical_formula_sum 'Ca2 Zr1 Ta1'
_space_group_name_H-M_alt 'P 4/m m m'
_space_group_IT_number 123
_space_group_name_Hall '-P 4 2'
_cell_length_a 4.3814
_cell_length_b 4.3814
_cell_length_c 5.3648
_cell_angle_alpha 90.00
_cell_angle_beta 90.00
_cell_angle_gamma 90.00
loop_
_atom_site_label
_atom_site_type_symbol
_atom_site_fract_x
_atom_site_fract_y
_atom_site_fract_z
Ca1 Ca 0.0000 0.5000 0.0000
Zr1 Zr 0.0000 0.0000 0.5000
Ta1 Ta 0.5000 0.5000 0.5000
```

Version b
Ca2ZrTa | PBE | relaxed

CIF file:
```
data_Ca2ZrTa
_chemical_formula_sum 'Ca4 Zr2 Ta2'
_space_group_name_H-M_alt 'I m m m'
_space_group_IT_number 71
_space_group_name_Hall '-I 2 2'
_cell_length_a 3.3307
_cell_length_b 5.2693
_cell_length_c 11.8607
_cell_angle_alpha 90.00
_cell_angle_beta 90.00
_cell_angle_gamma 90.00
loop_
_atom_site_label
_atom_site_type_symbol
_atom_site_fract_x
_atom_site_fract_y
_atom_site_fract_z
Ca1 Ca 0.0000 0.0000 0.2289
Zr1 Zr 0.0000 0.5000 0.0000
Ta1 Ta 0.0000 0.5000 0.5000
```

Version c
Ca2ZrTa | PBE | relaxed

CIF file:
```
data_Ca2ZrTa
_chemical_formula_sum 'Ca2 Zr1 Ta1'
_space_group_name_H-M_alt 'P 4 m m'
_space_group_IT_number 99
_space_group_name_Hall 'P 4 -2'
_cell_length_a 3.7010
_cell_length_b 3.7010
_cell_length_c 8.4980
_cell_angle_alpha 90.00
_cell_angle_beta 90.00
_cell_angle_gamma 90.00
loop_
_atom_site_label
_atom_site_type_symbol
_atom_site_fract_x
_atom_site_fract_y
_atom_site_fract_z
Ca1 Ca 0.0000 0.0000 0.0000
Ca2 Ca 0.5000 0.5000 0.3530
Zr1 Zr 0.5000 0.5000 0.7346
Ta1 Ta 0.0000 0.0000 0.6076
```

Version d
Ca2ZrTa | PBE | relaxed

CIF file:
```
data_Ca2ZrTa
_chemical_formula_sum 'Ca4 Zr2 Ta2'
_space_group_name_H-M_alt 'I m m 2'
_space_group_IT_number 44
_space_group_name_Hall 'I 2 -2'
_cell_length_a 3.2438
_cell_length_b 6.0056
_cell_length_c 11.4312
_cell_angle_alpha 90.00
_cell_angle_beta 90.00
_cell_angle_gamma 90.00
loop_
_atom_site_label
_atom_site_type_symbol
_atom_site_fract_x
_atom_site_fract_y
_atom_site_fract_z
Ca1 Ca 0.0000 0.0000 0.0000
Ca2 Ca 0.0000 0.5000 0.2136
Zr1 Zr 0.0000 0.0000 0.4400
Ta1 Ta 0.0000 0.5000 0.7460
```

Going by the computed energies, the most stable comes first: version c, version d, version b, version a.

Version a
Ca2ZrTa | PBE | relaxed

CIF file:
```
data_Ca2ZrTa
_chemical_formula_sum 'Ca4 Zr2 Ta2'
_space_group_name_H-M_alt 'I 4/m m m'
_space_group_IT_number 139
_space_group_name_Hall '-I 4 2'
_cell_length_a 4.3751
_cell_length_b 4.3751
_cell_length_c 10.7504
_cell_angle_alpha 90.00
_cell_angle_beta 90.00
_cell_angle_gamma 90.00
loop_
_atom_site_label
_atom_site_type_symbol
_atom_site_fract_x
_atom_site_fract_y
_atom_site_fract_z
Ca1 Ca 0.0000 0.5000 0.2500
Zr1 Zr 0.0000 0.0000 0.0000
Ta1 Ta 0.0000 0.0000 0.5000
```

Version b
Ca2ZrTa | PBE | relaxed

CIF file:
```
data_Ca2ZrTa
_chemical_formula_sum 'Ca2 Zr1 Ta1'
_space_group_name_H-M_alt 'P 1 2/m 1'
_space_group_IT_number 10
_space_group_name_Hall '-P 2y'
_cell_length_a 5.5847
_cell_length_b 3.1723
_cell_length_c 6.1006
_cell_angle_alpha 90.00
_cell_angle_beta 108.46
_cell_angle_gamma 90.00
loop_
_atom_site_label
_atom_site_type_symbol
_atom_site_fract_x
_atom_site_fract_y
_atom_site_fract_z
Ca1 Ca 0.0000 0.0000 0.0000
Ca2 Ca 0.5000 0.5000 0.0000
Zr1 Zr 0.0000 0.5000 0.5000
Ta1 Ta 0.5000 0.0000 0.5000
```

Going by the computed energies, the most stable comes first: version b, version a.

Version a
Ca2ZrTa | PBE | relaxed

CIF file:
```
data_Ca2ZrTa
_chemical_formula_sum 'Ca8 Zr4 Ta4'
_space_group_name_H-M_alt 'I -4 2 d'
_space_group_IT_number 122
_space_group_name_Hall 'I -4 2bw'
_cell_length_a 8.6355
_cell_length_b 8.6355
_cell_length_c 5.8820
_cell_angle_alpha 90.00
_cell_angle_beta 90.00
_cell_angle_gamma 90.00
loop_
_atom_site_label
_atom_site_type_symbol
_atom_site_fract_x
_atom_site_fract_y
_atom_site_fract_z
Ca1 Ca 0.2369 0.2500 0.1250
Zr1 Zr 0.0000 0.0000 0.5000
Ta1 Ta 0.0000 0.0000 0.0000
```

Version b
Ca2ZrTa | PBE | relaxed

CIF file:
```
data_Ca2ZrTa
_chemical_formula_sum 'Ca4 Zr2 Ta2'
_space_group_name_H-M_alt 'I -4 m 2'
_space_group_IT_number 119
_space_group_name_Hall 'I -4 -2'
_cell_length_a 4.8679
_cell_length_b 4.8679
_cell_length_c 8.6603
_cell_angle_alpha 90.00
_cell_angle_beta 90.00
_cell_angle_gamma 90.00
loop_
_atom_site_label
_atom_site_type_symbol
_atom_site_fract_x
_atom_site_fract_y
_atom_site_fract_z
Ca1 Ca 0.0000 0.0000 0.0000
Ca2 Ca 0.0000 0.5000 0.2500
Zr1 Zr 0.0000 0.0000 0.5000
Ta1 Ta 0.0000 0.5000 0.7500
```

Version c
Ca2ZrTa | PBE | relaxed

CIF file:
```
data_Ca2ZrTa
_chemical_formula_sum 'Ca6 Zr3 Ta3'
_space_group_name_H-M_alt 'R -3 m'
_space_group_IT_number 166
_space_group_name_Hall '-R 3 2"'
_cell_length_a 3.1974
_cell_length_b 3.1974
_cell_length_c 34.6875
_cell_angle_alpha 90.00
_cell_angle_beta 90.00
_cell_angle_gamma 120.00
loop_
_atom_site_label
_atom_site_type_symbol
_atom_site_fract_x
_atom_site_fract_y
_atom_site_fract_z
Ca1 Ca 0.0000 0.0000 0.2457
Zr1 Zr 0.0000 0.0000 0.0000
Ta1 Ta 0.0000 0.0000 0.5000
```

Version d
Ca2ZrTa | PBE | relaxed

CIF file:
```
data_Ca2ZrTa
_chemical_formula_sum 'Ca4 Zr2 Ta2'
_space_group_name_H-M_alt 'C m m 2'
_space_group_IT_number 35
_space_group_name_Hall 'C 2 -2'
_cell_length_a 4.0206
_cell_length_b 5.0733
_cell_length_c 10.8109
_cell_angle_alpha 90.00
_cell_angle_beta 90.00
_cell_angle_gamma 90.00
loop_
_atom_site_label
_atom_site_type_symbol
_atom_site_fract_x
_atom_site_fract_y
_atom_site_fract_z
Ca1 Ca 0.0000 0.0000 0.0000
Ca2 Ca 0.0000 0.5000 0.3086
Zr1 Zr 0.0000 0.0000 0.5820
Ta1 Ta 0.0000 0.5000 0.7651
```

Going by the computed energies, the most stable comes first: version d, version c, version b, version a.